(w)
DFT (PBE) results for a relaxed structure of Al2GeTe.

POSCAR file:
```
Al2GeTe
1.0
-3.0159 3.0159 6.0351
3.0159 -3.0159 6.0351
3.0159 3.0159 -6.0351
Al Ge Te
4 2 2
direct
0.0825 0.6250 0.9575
0.3750 0.3325 0.4575
0.6675 0.1250 0.0425
0.8750 0.9175 0.5425
0.0000 0.0000 0.0000
0.7500 0.2500 0.5000
0.2500 0.7500 0.5000
0.5000 0.5000 0.0000
```

The magnetization is 0.000 μB/cell. As for the calculated volume: 27.45 Å³ per atom. The space group is I-42d, No. 122.

---

(x)
DFT (PBE) results for a relaxed structure of Al2GeTe.

POSCAR file:
```
Al2GeTe
1.0
2.0013 1.1555 7.5518
-2.0013 1.1555 7.5518
0.0000 -2.3110 7.5518
Al Ge Te
2 1 1
direct
0.1152 0.1152 0.1152
0.8848 0.8848 0.8848
0.5000 0.5000 0.5000
0.0000 0.0000 0.0000
```

The magnetization is 0.000 μB/cell. As for the calculated volume: 26.20 Å³ per atom. The space group is R-3m, No. 166.

---

(y)
DFT (PBE) results for a relaxed structure of Al2GeTe.

POSCAR file:
```
Al2GeTe
1.0
0.0000 3.4570 3.4570
3.4570 0.0000 3.4570
3.4570 3.4570 0.0000
Al Ge Te
2 1 1
direct
0.2500 0.2500 0.2500
0.7500 0.7500 0.7500
0.0000 0.0000 0.0000
0.5000 0.5000 0.5000
```

The magnetization is 0.000 μB/cell. As for the calculated volume: 20.66 Å³ per atom. The space group is Fm-3m, No. 225.

---

Of them, (w) has the highest stability.